First-principles (GGA-PBE) data for a relaxed Sr2AsBr crystal, as listed in Alexandria.

Unit cell a=7.067 b=7.067 c=7.067 alpha=143.31 beta=143.31 gamma=52.86
Positions (direct):
Sr: 0.000 0.000 0.000
Sr: 0.250 0.750 0.500
As: 0.500 0.500 0.000
Br: 0.750 0.250 0.500

Values from the calculation:
Its total magnetization is 0.00 μB/cell. The value obtained for the raw formation energy is -1.140 eV per atom.